# PBE Sn2PbBr6, relaxed
# ρ = 4.445 g/cm³
# ΔE_f (raw) = -0.81 eV/atom
# total moment = 0.000 μB/f.u.
data_Sn2PbBr6
_chemical_formula_sum 'Sn4 Pb2 Br12'
_cell_length_a 7.6819
_cell_length_b 7.0761
_cell_length_c 14.8403
_cell_angle_alpha 90.00
_cell_angle_beta 121.16
_cell_angle_gamma 90.00
_symmetry_space_group_name_H-M 'P 1 21/c 1'
_symmetry_Int_Tables_number 14
_symmetry_space_group_name_Hall '-P 2ybc'
loop_
_atom_site_label
_atom_site_type_symbol
_atom_site_fract_x
_atom_site_fract_y
_atom_site_fract_z
_atom_site_occupancy
Sn1 Sn 0.1762 0.0011 0.1764 1
Pb1 Pb 0.5000 0.0000 0.0000 1
Br1 Br 0.1541 0.7465 0.3352 1
Br2 Br 0.1565 0.2250 0.9997 1
Br3 Br 0.4841 0.7446 0.6655 1